No. 1
A geometry-optimized Na2GePd3 structure. Source: Alexandria via LeMat-Bulk, functional GGA-PBE. Values from VASP.

* final energy: -25.2 eV/cell
* DFT formation energy: -0.397 eV/atom

The structure in Quantum ESPRESSO input format:
```
&SYSTEM
  ibrav = 0, nat = 6, ntyp = 3
/
ATOMIC_SPECIES
Pd 106.42 Pd.upf
Na 22.99 Na.upf
Ge 72.64 Ge.upf
CELL_PARAMETERS angstrom
5.1011 -0.0839 -0.0618
2.0821 4.6576 -0.0618
2.0821 1.3257 4.4653
ATOMIC_POSITIONS crystal
Pd 0.0000 0.0000 0.5000
Na 0.6217 0.6217 0.6217
Pd 0.0000 0.5000 0.0000
Pd 0.5000 0.0000 0.0000
Ge 0.0000 0.0000 0.0000
Na 0.3783 0.3783 0.3783
```

=====

No. 2
A geometry-optimized Ti4NiGe3 structure. Source: Alexandria via LeMat-Bulk, functional GGA-PBE. Values from VASP.

* final energy: -112.1 eV/cell
* DFT formation energy: -0.603 eV/atom

The structure in Quantum ESPRESSO input format:
```
&SYSTEM
  ibrav = 0, nat = 16, ntyp = 3
/
ATOMIC_SPECIES
Ti 47.87 Ti.upf
Ge 72.64 Ge.upf
Ni 58.69 Ni.upf
CELL_PARAMETERS angstrom
4.7294 0.0000 1.6748
2.3647 6.9712 0.8374
0.0376 0.0000 7.4087
ATOMIC_POSITIONS crystal
Ti 0.0831 0.1369 0.6969
Ge 0.6521 0.1959 0.5000
Ge 0.2500 0.0000 0.0000
Ge 0.1521 0.5000 0.1959
Ti 0.2200 0.6969 0.8631
Ti 0.9169 0.8631 0.3031
Ge 0.3479 0.8041 0.5000
Ni 0.7500 0.5000 0.5000
Ti 0.7800 0.3031 0.1369
Ni 0.2500 0.5000 0.5000
Ge 0.8479 0.5000 0.8041
Ti 0.4169 0.3031 0.8631
Ti 0.7200 0.8631 0.6969
Ti 0.2800 0.1369 0.3031
Ge 0.7500 0.0000 0.0000
Ti 0.5831 0.6969 0.1369
```

=====

No. 3
A geometry-optimized BaCa2In2 structure. Source: Alexandria via LeMat-Bulk, functional GGA-PBE. Values from VASP.

* final energy: -12.2 eV/cell
* DFT formation energy: -0.162 eV/atom

The structure in Quantum ESPRESSO input format:
```
&SYSTEM
  ibrav = 0, nat = 5, ntyp = 3
/
ATOMIC_SPECIES
Ca 40.08 Ca.upf
Ba 137.33 Ba.upf
In 114.82 In.upf
CELL_PARAMETERS angstrom
5.7529 0.0000 0.0000
0.0000 5.7529 0.0000
2.8765 2.8765 6.0415
ATOMIC_POSITIONS crystal
Ca 0.6492 0.6492 0.7016
Ba 0.0000 0.0000 0.0000
In 0.2500 0.7500 0.5000
Ca 0.3508 0.3508 0.2984
In 0.7500 0.2500 0.5000
```

=====

No. 4
A geometry-optimized LaPr2Ru structure. Source: Alexandria via LeMat-Bulk, functional GGA-PBE. Values from VASP.

* final energy: -23.9 eV/cell
* DFT formation energy: -0.029 eV/atom

The structure in Quantum ESPRESSO input format:
```
&SYSTEM
  ibrav = 0, nat = 4, ntyp = 3
/
ATOMIC_SPECIES
La 138.91 La.upf
Ru 101.07 Ru.upf
Pr 140.91 Pr.upf
CELL_PARAMETERS angstrom
3.5642 0.0000 0.0000
0.0000 3.5642 0.0000
0.0000 0.0000 9.5732
ATOMIC_POSITIONS crystal
La 0.5000 0.5000 0.5000
Ru 0.5000 0.5000 0.0000
Pr 0.0000 0.0000 0.1787
Pr 0.0000 0.0000 0.8213
```

=====

No. 5
A geometry-optimized Sc2GePt5 structure. Source: Alexandria via LeMat-Bulk, functional GGA-PBE. Values from VASP.

* final energy: -110.3 eV/cell
* DFT formation energy: -0.958 eV/atom

The structure in Quantum ESPRESSO input format:
```
&SYSTEM
  ibrav = 0, nat = 16, ntyp = 3
/
ATOMIC_SPECIES
Pt 195.08 Pt.upf
Sc 44.96 Sc.upf
Ge 72.64 Ge.upf
CELL_PARAMETERS angstrom
4.0349 0.0000 0.0000
0.0000 5.6573 0.0000
0.0000 0.0000 11.4583
ATOMIC_POSITIONS crystal
Pt 0.5000 0.2177 0.6154
Sc 0.5000 0.2139 0.8638
Pt 0.0000 0.5000 0.5000
Pt 0.5000 0.2823 0.1154
Sc 0.5000 0.2861 0.3638
Ge 0.0000 0.0000 0.5000
Pt 0.0000 0.0000 0.0000
Pt 0.0000 0.5323 0.2486
Pt 0.0000 0.9677 0.7486
Pt 0.0000 0.4677 0.7514
Ge 0.0000 0.5000 0.0000
Sc 0.5000 0.7861 0.1362
Pt 0.0000 0.0323 0.2514
Pt 0.5000 0.7177 0.8846
Sc 0.5000 0.7139 0.6362
Pt 0.5000 0.7823 0.3846
```

=====

No. 6
A geometry-optimized FeTeP2S structure. Source: Alexandria via LeMat-Bulk, functional GGA-PBE. Values from VASP.

* formation energy (no corrections): 0.423 eV/atom
* final energy: -24.4 eV/cell

The structure in Quantum ESPRESSO input format:
```
&SYSTEM
  ibrav = 0, nat = 5, ntyp = 4
/
ATOMIC_SPECIES
Te 127.60 Te.upf
Fe 55.84 Fe.upf
S 32.06 S.upf
P 30.97 P.upf
CELL_PARAMETERS angstrom
4.2683 0.0000 0.0000
0.0000 4.2683 0.0000
0.0000 0.0000 4.9579
ATOMIC_POSITIONS crystal
Te 0.5000 0.5000 0.5000
Fe 0.0000 0.0000 0.0000
S 0.0000 0.0000 0.5000
P 0.5000 0.0000 0.0000
P 0.0000 0.5000 0.0000
```

=====

No. 7
A geometry-optimized PmPrErTl structure. Source: Alexandria via LeMat-Bulk, functional GGA-PBE. Values from VASP.

* final energy: -17.2 eV/cell
* DFT formation energy: -0.191 eV/atom

The structure in Quantum ESPRESSO input format:
```
&SYSTEM
  ibrav = 0, nat = 4, ntyp = 4
/
ATOMIC_SPECIES
Er 167.26 Er.upf
Tl 204.38 Tl.upf
Pr 140.91 Pr.upf
Pm 145.00 Pm.upf
CELL_PARAMETERS angstrom
-0.2934 -4.9586 -0.7328
2.5709 0.4583 -4.1311
4.1675 -0.6197 2.5248
ATOMIC_POSITIONS crystal
Er 0.0000 0.5000 0.5000
Tl 0.0000 0.0000 0.0000
Pr 0.5000 0.0000 0.5000
Pm 0.5000 0.5000 0.0000
```

=====

No. 8
A geometry-optimized NiRh2 structure. Source: Alexandria via LeMat-Bulk, functional GGA-PBE. Values from VASP.

* final energy: -40.7 eV/cell
* DFT formation energy: 0.046 eV/atom

The structure in Quantum ESPRESSO input format:
```
&SYSTEM
  ibrav = 0, nat = 6, ntyp = 2
/
ATOMIC_SPECIES
Ni 58.69 Ni.upf
Rh 102.91 Rh.upf
CELL_PARAMETERS angstrom
2.6873 0.0000 0.0000
0.0000 7.9171 0.0000
0.0000 0.0000 3.7481
ATOMIC_POSITIONS crystal
Ni 0.5000 0.1621 0.5000
Rh 0.5000 0.4951 0.5000
Rh 0.5000 0.8453 0.5000
Rh 0.0000 0.6716 0.0000
Ni 0.0000 0.0045 0.0000
Rh 0.0000 0.3213 0.0000
```